Entry 1:
# PBE La8PmHo2, relaxed
data_La8PmHo2
_chemical_formula_sum 'La8 Pm1 Ho2'
_cell_length_a 6.107
_cell_length_b 9.281
_cell_length_c 9.625
_cell_angle_alpha 61.18
_cell_angle_beta 74.23
_cell_angle_gamma 55.68
_space_group_name_H-M_alt 'P 1'
_space_group_IT_number 1
loop_
_space_group_symop_operation_xyz
'x,y,z'
loop_
_atom_site_label
_atom_site_fract_x
_atom_site_fract_y
_atom_site_fract_z
La1 0.815 0.096 0.240
La2 0.185 0.663 0.240
La3 0.500 0.206 0.589
La4 0.298 0.421 0.000
La5 0.185 0.904 0.760
La6 0.815 0.337 0.760
La7 0.500 0.794 0.411
La8 0.702 0.579 0.000
Pm1 0.500 0.000 0.000
Ho1 0.000 0.311 0.377
Ho2 0.000 0.689 0.623
# - energy relative to the elements (eV/atom) = 0.121
# - E above lowest polymorph (meV per atom) = 100
# - DOS(E_F) (states/eV/f.u.) = 16.388
# - mass density (g cm⁻³) = 6.67
# - symmetry = C2/m

=====

Entry 2:
# PBE Ce2DySb, relaxed
data_Ce2DySb
_chemical_formula_sum 'Ce2 Dy1 Sb1'
_cell_length_a 5.440
_cell_length_b 5.440
_cell_length_c 5.439
_cell_angle_alpha 60.00
_cell_angle_beta 60.00
_cell_angle_gamma 60.00
_space_group_name_H-M_alt 'P 1'
_space_group_IT_number 1
loop_
_space_group_symop_operation_xyz
'x,y,z'
loop_
_atom_site_label
_atom_site_fract_x
_atom_site_fract_y
_atom_site_fract_z
Dy1 0.000 0.000 0.000
Ce1 0.750 0.750 0.750
Ce2 0.250 0.250 0.250
Sb1 0.500 0.500 0.500
# - uncorrected formation energy (eV/atom) = -0.2319
# - E above lowest polymorph (meV per atom) = 346
# - DOS(E_F) (states/eV/f.u.) = 12.249
# - mass density (g cm⁻³) = 8.24
# - symmetry = Fm-3m

=====

Entry 3:
# PBE Pr3Cd2Rh4, relaxed
data_Pr3Cd2Rh4
_chemical_formula_sum 'Pr3 Cd2 Rh4'
_cell_length_a 4.538
_cell_length_b 5.563
_cell_length_c 8.846
_cell_angle_alpha 93.40
_cell_angle_beta 90.00
_cell_angle_gamma 114.07
_space_group_name_H-M_alt 'P 1'
_space_group_IT_number 1
loop_
_space_group_symop_operation_xyz
'x,y,z'
loop_
_atom_site_label
_atom_site_fract_x
_atom_site_fract_y
_atom_site_fract_z
Rh1 0.723 0.446 0.086
Rh2 0.277 0.554 0.914
Rh3 0.919 0.839 0.375
Rh4 0.081 0.161 0.625
Pr1 0.000 0.000 0.000
Pr2 0.629 0.258 0.380
Pr3 0.371 0.742 0.620
Cd1 0.324 0.648 0.224
Cd2 0.676 0.352 0.776
# - energy relative to the elements (eV/atom) = -0.494
# - DOS(E_F) (states/eV/f.u.) = 6.567
# - mass density (g cm⁻³) = 8.64
# - symmetry = C2/m

=====

Entry 4:
# PBE YZnGaPt3, relaxed
data_YZnGaPt3
_chemical_formula_sum 'Y2 Zn2 Ga2 Pt6'
_cell_length_a 5.655
_cell_length_b 6.688
_cell_length_c 6.858
_cell_angle_alpha 119.18
_cell_angle_beta 90.00
_cell_angle_gamma 90.00
_space_group_name_H-M_alt 'P 1'
_space_group_IT_number 1
loop_
_space_group_symop_operation_xyz
'x,y,z'
loop_
_atom_site_label
_atom_site_fract_x
_atom_site_fract_y
_atom_site_fract_z
Pt1 0.500 0.710 0.000
Pt2 0.750 0.838 0.675
Pt3 0.250 0.162 0.325
Pt4 0.000 0.710 0.000
Pt5 0.000 0.290 0.000
Pt6 0.500 0.290 0.000
Zn1 0.250 0.937 0.873
Zn2 0.750 0.063 0.127
Y1 0.750 0.306 0.612
Y2 0.250 0.694 0.388
Ga1 0.250 0.365 0.729
Ga2 0.750 0.635 0.271
# - energy relative to the elements (eV/atom) = -0.645
# - DOS(E_F) (states/eV/f.u.) = 3.120
# - mass density (g cm⁻³) = 11.87
# - symmetry = Cmcm

=====

Entry 5:
# PBE CaPm2Ge, relaxed
data_CaPm2Ge
_chemical_formula_sum 'Ca1 Pm2 Ge1'
_cell_length_a 5.395
_cell_length_b 5.395
_cell_length_c 5.395
_cell_angle_alpha 60.00
_cell_angle_beta 60.00
_cell_angle_gamma 60.00
_space_group_name_H-M_alt 'P 1'
_space_group_IT_number 1
loop_
_space_group_symop_operation_xyz
'x,y,z'
loop_
_atom_site_label
_atom_site_fract_x
_atom_site_fract_y
_atom_site_fract_z
Pm1 0.250 0.250 0.250
Pm2 0.750 0.750 0.750
Ge1 0.500 0.500 0.500
Ca1 0.000 0.000 0.000
# - energy relative to the elements (eV/atom) = -0.149
# - E above lowest polymorph (meV per atom) = 153
# - DOS(E_F) (states/eV/f.u.) = 5.130
# - mass density (g cm⁻³) = 6.02
# - symmetry = Fm-3m

=====

Entry 6:
# PBE YHoMgHg, relaxed
data_YHoMgHg
_chemical_formula_sum 'Y1 Ho1 Mg1 Hg1'
_cell_length_a 5.290
_cell_length_b 5.290
_cell_length_c 5.290
_cell_angle_alpha 60.00
_cell_angle_beta 60.00
_cell_angle_gamma 60.00
_space_group_name_H-M_alt 'P 1'
_space_group_IT_number 1
loop_
_space_group_symop_operation_xyz
'x,y,z'
loop_
_atom_site_label
_atom_site_fract_x
_atom_site_fract_y
_atom_site_fract_z
Ho1 0.750 0.750 0.750
Mg1 0.500 0.500 0.500
Hg1 0.000 0.000 0.000
Y1 0.250 0.250 0.250
# - energy relative to the elements (eV/atom) = -0.276
# - E above lowest polymorph (meV per atom) = 18
# - DOS(E_F) (states/eV/f.u.) = 4.303
# - mass density (g cm⁻³) = 7.59
# - symmetry = F-43m

=====

Entry 7:
# PBE TlCd2Rh2, relaxed
data_TlCd2Rh2
_chemical_formula_sum 'Tl1 Cd2 Rh2'
_cell_length_a 4.019
_cell_length_b 4.019
_cell_length_c 6.934
_cell_angle_alpha 73.15
_cell_angle_beta 73.15
_cell_angle_gamma 90.00
_space_group_name_H-M_alt 'P 1'
_space_group_IT_number 1
loop_
_space_group_symop_operation_xyz
'x,y,z'
loop_
_atom_site_label
_atom_site_fract_x
_atom_site_fract_y
_atom_site_fract_z
Rh1 0.600 0.600 0.800
Rh2 0.400 0.400 0.200
Cd1 0.250 0.750 0.500
Cd2 0.750 0.250 0.500
Tl1 0.000 0.000 0.000
# - energy relative to the elements (eV/atom) = 0.219
# - E above lowest polymorph (meV per atom) = 286
# - DOS(E_F) (states/eV/f.u.) = 4.296
# - mass density (g cm⁻³) = 10.32
# - symmetry = I4/mmm

=====

Entry 8:
# PBE Ac2PrEu, relaxed
data_Ac2PrEu
_chemical_formula_sum 'Ac2 Pr1 Eu1'
_cell_length_a 3.931
_cell_length_b 3.931
_cell_length_c 10.878
_cell_angle_alpha 90.00
_cell_angle_beta 90.00
_cell_angle_gamma 90.00
_space_group_name_H-M_alt 'P 1'
_space_group_IT_number 1
loop_
_space_group_symop_operation_xyz
'x,y,z'
loop_
_atom_site_label
_atom_site_fract_x
_atom_site_fract_y
_atom_site_fract_z
Ac1 0.000 0.000 0.761
Ac2 0.000 0.000 0.239
Eu1 0.500 0.500 0.500
Pr1 0.500 0.500 0.000
# - energy relative to the elements (eV/atom) = 0.019
# - E above lowest polymorph (meV per atom) = 0
# - DOS(E_F) (states/eV/f.u.) = 6.031
# - mass density (g cm⁻³) = 7.38
# - symmetry = P4/mmm

=====

Entry 9:
# PBE Rb2BeGeTe, relaxed
data_Rb2BeGeTe
_chemical_formula_sum 'Rb2 Be1 Ge1 Te1'
_cell_length_a 6.772
_cell_length_b 5.472
_cell_length_c 6.772
_cell_angle_alpha 90.00
_cell_angle_beta 90.00
_cell_angle_gamma 90.00
_space_group_name_H-M_alt 'P 1'
_space_group_IT_number 1
loop_
_space_group_symop_operation_xyz
'x,y,z'
loop_
_atom_site_label
_atom_site_fract_x
_atom_site_fract_y
_atom_site_fract_z
Rb1 0.000 0.000 0.500
Rb2 0.500 0.000 0.000
Ge1 0.000 0.000 0.000
Te1 0.000 0.500 0.000
Be1 0.500 0.500 0.500
# - uncorrected formation energy (eV/atom) = 0.5502
# - DOS(E_F) (states/eV/f.u.) = 3.338
# - mass density (g cm⁻³) = 2.52
# - symmetry = P4/mmm

=====

Entry 10:
# PBE B7C3, relaxed
data_B7C3
_chemical_formula_sum 'B7 C3'
_cell_length_a 11.926
_cell_length_b 11.926
_cell_length_c 11.926
_cell_angle_alpha 168.75
_cell_angle_beta 167.97
_cell_angle_gamma 16.50
_space_group_name_H-M_alt 'P 1'
_space_group_IT_number 1
loop_
_space_group_symop_operation_xyz
'x,y,z'
loop_
_atom_site_label
_atom_site_fract_x
_atom_site_fract_y
_atom_site_fract_z
B1 0.464 0.964 0.500
B2 0.406 0.406 0.000
B3 0.796 0.796 0.000
B4 0.650 0.150 0.500
B5 0.853 0.353 0.500
B6 0.241 0.741 0.500
B7 0.592 0.592 0.000
C1 0.046 0.546 0.500
C2 0.192 0.192 0.000
C3 0.010 0.010 0.000
# - energy relative to the elements (eV/atom) = 0.412
# - E above lowest polymorph (meV per atom) = 120
# - DOS(E_F) (states/eV/f.u.) = 2.380
# - mass density (g cm⁻³) = 2.69
# - symmetry = Imm2

=====

Entry 11:
# PBE Tl3ReRh, relaxed
data_Tl3ReRh
_chemical_formula_sum 'Tl3 Re1 Rh1'
_cell_length_a 5.229
_cell_length_b 5.229
_cell_length_c 5.229
_cell_angle_alpha 90.00
_cell_angle_beta 90.00
_cell_angle_gamma 90.00
_space_group_name_H-M_alt 'P 1'
_space_group_IT_number 1
loop_
_space_group_symop_operation_xyz
'x,y,z'
loop_
_atom_site_label
_atom_site_fract_x
_atom_site_fract_y
_atom_site_fract_z
Tl1 0.000 0.000 0.500
Tl2 0.500 0.000 0.000
Tl3 0.000 0.500 0.000
Re1 0.500 0.500 0.500
Rh1 0.000 0.000 0.000
# - energy relative to the elements (eV/atom) = 1.221
# - E above lowest polymorph (meV per atom) = 0
# - DOS(E_F) (states/eV/f.u.) = 4.504
# - mass density (g cm⁻³) = 10.48
# - symmetry = Pm-3m

=====

Entry 12:
# PBE PmGa6Ir2, relaxed
data_PmGa6Ir2
_chemical_formula_sum 'Pm2 Ga12 Ir4'
_cell_length_a 8.429
_cell_length_b 8.429
_cell_length_c 8.429
_cell_angle_alpha 60.00
_cell_angle_beta 60.00
_cell_angle_gamma 60.00
_space_group_name_H-M_alt 'P 1'
_space_group_IT_number 1
loop_
_space_group_symop_operation_xyz
'x,y,z'
loop_
_atom_site_label
_atom_site_fract_x
_atom_site_fract_y
_atom_site_fract_z
Ga1 0.018 0.482 0.018
Ga2 0.232 0.232 0.768
Ga3 0.232 0.768 0.232
Ga4 0.482 0.018 0.482
Ga5 0.482 0.018 0.018
Ga6 0.018 0.018 0.482
Ga7 0.018 0.482 0.482
Ga8 0.482 0.482 0.018
Ga9 0.768 0.232 0.768
Ga10 0.768 0.768 0.232
Ga11 0.768 0.232 0.232
Ga12 0.232 0.768 0.768
Ir1 0.625 0.125 0.125
Ir2 0.125 0.125 0.625
Ir3 0.125 0.125 0.125
Ir4 0.125 0.625 0.125
Pm1 0.750 0.750 0.750
Pm2 0.500 0.500 0.500
# - energy relative to the elements (eV/atom) = 0.020
# - DOS(E_F) (states/eV/f.u.) = 6.570
# - mass density (g cm⁻³) = 7.43
# - symmetry = Fd-3m

=====

Entry 13:
# PBE MnRhI4, relaxed
data_MnRhI4
_chemical_formula_sum 'Mn1 Rh1 I4'
_cell_length_a 4.140
_cell_length_b 7.013
_cell_length_c 8.047
_cell_angle_alpha 113.25
_cell_angle_beta 104.90
_cell_angle_gamma 90.00
_space_group_name_H-M_alt 'P 1'
_space_group_IT_number 1
loop_
_space_group_symop_operation_xyz
'x,y,z'
loop_
_atom_site_label
_atom_site_fract_x
_atom_site_fract_y
_atom_site_fract_z
I1 0.393 0.741 0.786
I2 0.607 0.259 0.214
I3 0.112 0.788 0.223
I4 0.888 0.212 0.777
Mn1 0.500 0.500 0.000
Rh1 0.000 0.000 0.000
# - uncorrected formation energy (eV/atom) = -0.2433
# - DOS(E_F) (states/eV/f.u.) = 1.675
# - mass density (g cm⁻³) = 5.36
# - symmetry = C2/m

=====

Entry 14:
# PBE Pr3Pb2Se, relaxed
data_Pr3Pb2Se
_chemical_formula_sum 'Pr3 Pb2 Se1'
_cell_length_a 4.412
_cell_length_b 6.394
_cell_length_c 7.890
_cell_angle_alpha 113.90
_cell_angle_beta 106.24
_cell_angle_gamma 90.00
_space_group_name_H-M_alt 'P 1'
_space_group_IT_number 1
loop_
_space_group_symop_operation_xyz
'x,y,z'
loop_
_atom_site_label
_atom_site_fract_x
_atom_site_fract_y
_atom_site_fract_z
Pr1 0.500 0.500 0.000
Pr2 0.845 0.845 0.690
Pr3 0.155 0.155 0.310
Pb1 0.169 0.669 0.338
Pb2 0.831 0.331 0.662
Se1 0.500 0.000 0.000
# - uncorrected formation energy (eV/atom) = -0.9584
# - DOS(E_F) (states/eV/f.u.) = 3.222
# - mass density (g cm⁻³) = 7.85
# - symmetry = Immm

=====

Entry 15:
# PBE Ga2BiN, relaxed
data_Ga2BiN
_chemical_formula_sum 'Ga4 Bi2 N2'
_cell_length_a 5.581
_cell_length_b 5.581
_cell_length_c 6.485
_cell_angle_alpha 64.51
_cell_angle_beta 64.51
_cell_angle_gamma 90.00
_space_group_name_H-M_alt 'P 1'
_space_group_IT_number 1
loop_
_space_group_symop_operation_xyz
'x,y,z'
loop_
_atom_site_label
_atom_site_fract_x
_atom_site_fract_y
_atom_site_fract_z
Ga1 0.875 0.764 0.750
Ga2 0.375 0.486 0.750
Ga3 0.514 0.125 0.250
Ga4 0.236 0.625 0.250
N1 0.250 0.750 0.500
N2 0.500 0.500 0.000
Bi1 0.750 0.250 0.500
Bi2 0.000 0.000 0.000
# - uncorrected formation energy (eV/atom) = 0.0963
# - E above lowest polymorph (meV per atom) = 127
# - DOS(E_F) (states/eV/f.u.) = 0.219
# - mass density (g cm⁻³) = 7.51
# - symmetry = I-42d

=====

Entry 16:
# PBE AlHgRh2, relaxed
data_AlHgRh2
_chemical_formula_sum 'Al1 Hg1 Rh2'
_cell_length_a 4.455
_cell_length_b 4.455
_cell_length_c 4.455
_cell_angle_alpha 60.00
_cell_angle_beta 60.00
_cell_angle_gamma 60.00
_space_group_name_H-M_alt 'P 1'
_space_group_IT_number 1
loop_
_space_group_symop_operation_xyz
'x,y,z'
loop_
_atom_site_label
_atom_site_fract_x
_atom_site_fract_y
_atom_site_fract_z
Rh1 0.750 0.750 0.750
Rh2 0.250 0.250 0.250
Al1 0.000 0.000 0.000
Hg1 0.500 0.500 0.500
# - energy relative to the elements (eV/atom) = -0.349
# - E above lowest polymorph (meV per atom) = 149
# - DOS(E_F) (states/eV/f.u.) = 1.939
# - mass density (g cm⁻³) = 11.51
# - symmetry = Fm-3m

=====

Which final energy belongs to each record? In order, -52.0 -21.5 -50.0 -32.8 -16.7 -14.0 -17.8 -23.2 -10.7 -70.3 -20.8 -40.5 -24.2 -31.0 -17.9 -20.1 eV per formula unit.